Tb8Th2Sc | Alexandria via LeMat-Bulk | GGA-PBE | relaxed; electronic total energy = -55.78 eV/cell; magnetization = 0.0000 μB/atom; E_form = 0.22 eV/atom; space group = C2/m, No. 12
1.0
5.6161 -0.4307 -0.3009
0.5637 9.6340 2.4985
0.5637 5.6614 8.1857
Tb Th Sc
8 2 1
direct
0.7655 0.4526 0.4526
0.2584 0.6041 0.1396
0.2584 0.1396 0.6041
0.7699 0.8222 0.8222
0.2301 0.1778 0.1778
0.2345 0.5474 0.5474
0.7416 0.3959 0.8604
0.7416 0.8604 0.3959
0.2689 0.7202 0.7202
0.7311 0.2798 0.2798
0.0000 0.0000 0.0000

Tb3Th2Sc2 | Alexandria via LeMat-Bulk | GGA-PBE | relaxed; electronic total energy = -41.11 eV/cell; magnetization = 0.0000 μB/atom; E_form = 0.04 eV/atom; space group = C2/m, No. 12
1.0
-1.0312 1.5867 4.5211
4.7517 -3.7042 -0.2728
5.5278 5.5126 -0.6738
Sc Th Tb
2 2 3
direct
0.5703 0.1407 0.2966
0.4297 0.8593 0.7034
0.1401 0.2802 0.5689
0.8599 0.7198 0.4311
0.2852 0.5704 0.1495
0.0000 0.0000 0.0000
0.7148 0.4296 0.8505